P) This record from OQMD via LeMat-Bulk describes an optimized crystal structure of CdCoNO. The functional is PBE with a Hubbard U.

Unit cell a=3.753 b=3.753 c=7.521 alpha=90.00 beta=90.00 gamma=90.00
Positions (direct):
Cd1 0.250 0.250 0.152
Cd2 0.750 0.750 0.848
Co1 0.250 0.750 0.500
Co2 0.750 0.250 0.500
N1 0.250 0.250 0.458
N2 0.750 0.750 0.542
O1 0.250 0.750 0.000
O2 0.750 0.250 0.000

Summary:
- Size of the total moment: 3.421 μB per cell
- Symmetry: P4/nmm

---

Q) This record from OQMD via LeMat-Bulk describes an optimized crystal structure of CdCoNO. The functional is PBE with a Hubbard U.

Unit cell a=3.217 b=5.991 c=5.533 alpha=90.00 beta=90.00 gamma=90.00
Positions (direct):
Cd1 0.000 0.160 0.000
Cd2 0.000 0.840 0.500
Co1 0.500 0.341 0.485
Co2 0.500 0.659 0.985
N1 0.000 0.197 0.401
N2 0.000 0.803 0.901
O1 0.500 0.369 0.834
O2 0.500 0.631 0.334

Summary:
- Size of the total moment: 5.940 μB per cell
- Symmetry: Pmc2_1

---

R) This record from OQMD via LeMat-Bulk describes an optimized crystal structure of CdCoNO. The functional is PBE with a Hubbard U.

Unit cell a=5.704 b=7.161 c=5.054 alpha=90.00 beta=90.00 gamma=90.00
Positions (direct):
Cd1 0.057 0.152 0.000
Cd2 0.443 0.152 0.500
Cd3 0.557 0.848 0.000
Cd4 0.943 0.848 0.500
Co1 0.087 0.609 0.989
Co2 0.413 0.609 0.489
Co3 0.587 0.391 0.989
Co4 0.913 0.391 0.489
N1 0.108 0.579 0.619
N2 0.392 0.579 0.119
N3 0.608 0.421 0.619
N4 0.892 0.421 0.119
O1 0.049 0.145 0.539
O2 0.451 0.145 0.039
O3 0.549 0.855 0.539
O4 0.951 0.855 0.039

Summary:
- Size of the total moment: 8.002 μB per cell
- Symmetry: Pca2_1

---

Among the structures above, stability is greatest for R).